Th2BiI: optimized geometry, GGA-PBE.

Structure (POSCAR):
```
Th2BiI
1.0
3.9251 0.0000 0.0000
0.0000 3.9251 0.0000
0.0000 0.0000 7.8377
Th Bi I
2 1 1
direct
0.0000 0.0000 0.2400 Th
0.0000 0.0000 0.7600 Th
0.5000 0.5000 0.0000 Bi
0.5000 0.5000 0.5000 I
```

Computed properties:
DOS(E_F) (states/eV/cell): 2.919
Energy above the lowest structure with this stoichiometry (eV/f.u.): 0.124
Energy (eV per formula unit): -22.4
Space group: No. 123
M_tot (μB/f.u.): 0.00

---

InCoAs2: optimized geometry, GGA-PBE.

Structure (POSCAR):
```
InCoAs2
1.0
2.9287 0.0000 0.0000
0.0000 2.9287 0.0000
0.0000 0.0000 8.9686
In Co As
1 1 2
direct
0.0000 0.0000 0.0000 In
0.0000 0.0000 0.5000 Co
0.5000 0.5000 0.3362 As
0.5000 0.5000 0.6638 As
```

Computed properties:
DOS(E_F) (states/eV/cell): 3.377
Energy (eV per formula unit): -19.1
Space group: No. 123
Energy of formation from the pure elements (eV/atom): 0.01
M_tot (μB/f.u.): 0.31

---

CrRe2Cl: optimized geometry, GGA-PBE.

Structure (POSCAR):
```
CrRe2Cl
1.0
5.1280 -1.4374 0.0000
5.1280 1.4374 0.0000
-0.3207 0.0000 4.1605
Cr Re Cl
1 2 1
direct
0.0000 0.0000 0.0000 Cr
0.2930 0.2930 0.7794 Re
0.7070 0.7070 0.2206 Re
0.5000 0.5000 0.5000 Cl
```

Computed properties:
DOS(E_F) (states/eV/cell): 2.006
Energy above the lowest structure with this stoichiometry (eV/f.u.): 1.226
Energy (eV per formula unit): -34.1
Space group: No. 12
M_tot (μB/f.u.): 1.55

---

NaReNF2: optimized geometry, GGA-PBE.

Structure (POSCAR):
```
NaReNF2
1.0
3.7855 0.0000 0.0000
0.0000 3.7855 0.0000
0.0000 0.0000 4.5452
Na Re N F
1 1 1 2
direct
0.0000 0.0000 0.0000 Na
0.5000 0.5000 0.5000 Re
0.0000 0.0000 0.5000 N
0.0000 0.5000 0.0000 F
0.5000 0.0000 0.0000 F
```

Computed properties:
DOS(E_F) (states/eV/cell): 1.939
Energy above the lowest structure with this stoichiometry (eV/f.u.): 7.306
Energy (eV per formula unit): -23.5
Space group: No. 123
M_tot (μB/f.u.): 3.00

---

Li2HOs: optimized geometry, GGA-PBE.

Structure (POSCAR):
```
Li2HOs
1.0
0.0000 2.8917 2.8917
2.8917 0.0000 2.8917
2.8917 2.8917 0.0000
Li H Os
2 1 1
direct
0.2500 0.2500 0.2500 Li
0.7500 0.7500 0.7500 Li
0.0000 0.0000 0.0000 H
0.5000 0.5000 0.5000 Os
```

Computed properties:
DOS(E_F) (states/eV/cell): 3.246
Energy above the lowest structure with this stoichiometry (eV/f.u.): 2.637
Energy (eV per formula unit): -13.5
Space group: No. 225
M_tot (μB/f.u.): 1.65

---

Mn2Co2Sn: optimized geometry, GGA-PBE.

Structure (POSCAR):
```
Mn2Co2Sn
1.0
-1.6321 1.6321 6.1214
1.6321 -1.6321 6.1214
1.6321 1.6321 -6.1214
Mn Co Sn
2 2 1
direct
0.2500 0.7500 0.5000 Mn
0.7500 0.2500 0.5000 Mn
0.1036 0.1036 0.0000 Co
0.8964 0.8964 0.0000 Co
0.5000 0.5000 0.0000 Sn
```

Computed properties:
DOS(E_F) (states/eV/cell): 5.119
Energy (eV per formula unit): -34.9
Space group: No. 139
Energy of formation from the pure elements (eV/atom): 0.34
M_tot (μB/f.u.): 0.00

---

ZrScP2: optimized geometry, GGA-PBE.

Structure (POSCAR):
```
ZrScP2
1.0
1.8449 1.0652 6.4105
-1.8449 1.0652 6.4105
0.0000 -2.1303 6.4105
Zr Sc P
1 1 2
direct
0.0000 0.0000 0.0000 Zr
0.1737 0.1737 0.1737 Sc
0.5839 0.5839 0.5839 P
0.7527 0.7527 0.7527 P
```

Computed properties:
DOS(E_F) (states/eV/cell): 3.199
Energy above the lowest structure with this stoichiometry (eV/f.u.): 0.345
Energy (eV per formula unit): -31.1
Space group: No. 160
Energy of formation from the pure elements (eV/atom): -1.35
M_tot (μB/f.u.): 0.00

---

AlTcPb2: optimized geometry, GGA-PBE.

Structure (POSCAR):
```
AlTcPb2
1.0
-1.5779 2.3047 6.4487
1.5779 -2.3047 6.4487
1.5779 2.3047 -6.4487
Al Tc Pb
1 1 2
direct
0.0000 0.0000 0.0000 Al
0.8407 0.3407 0.5000 Tc
0.3273 0.8273 0.5000 Pb
0.6287 0.6287 0.0000 Pb
```

Computed properties:
DOS(E_F) (states/eV/cell): 4.220
Energy (eV per formula unit): -19.9
Space group: No. 44
Energy of formation from the pure elements (eV/atom): 0.40
M_tot (μB/f.u.): 0.00

---

Rb3Na3CdI8: optimized geometry, GGA-PBE.

Structure (POSCAR):
```
Rb3Na3CdI8
1.0
8.2290 -4.7457 0.0000
8.2290 4.7457 0.0000
-5.4904 0.0000 8.4831
Rb Na Cd I
3 3 1 8
direct
0.0000 0.0000 0.0000 Rb
0.0000 0.5000 0.0000 Rb
0.5000 0.0000 0.0000 Rb
0.0000 0.5000 0.5000 Na
0.5000 0.0000 0.5000 Na
0.5000 0.5000 0.5000 Na
0.0000 0.0000 0.5000 Cd
0.2227 0.2227 0.7006 I
0.2230 0.7551 0.7008 I
0.2449 0.7770 0.2992 I
0.2618 0.2618 0.2858 I
0.7382 0.7382 0.7142 I
0.7551 0.2230 0.7008 I
0.7770 0.2449 0.2992 I
0.7773 0.7773 0.2994 I
```

Computed properties:
DOS(E_F) (states/eV/cell): 0.000
Energy (eV per formula unit): -38.2
Space group: No. 12
M_tot (μB/f.u.): 0.00

---

Pa4GeRu2: optimized geometry, GGA-PBE.

Structure (POSCAR):
```
Pa4GeRu2
1.0
6.7284 0.0000 0.0000
-2.1113 6.6430 0.0000
-2.7687 -2.9991 6.8939
Pa Ge Ru
8 2 4
direct
0.0000 0.0000 0.0000 Pa
0.0414 0.9506 0.4936 Pa
0.1376 0.5697 0.6901 Pa
0.3692 0.4549 0.1022 Pa
0.4656 0.8264 0.5810 Pa
0.5969 0.1441 0.3201 Pa
0.6480 0.4412 0.7913 Pa
0.8937 0.4546 0.1994 Pa
0.2649 0.3296 0.4067 Ge
0.4208 0.0677 0.9035 Ge
0.2110 0.7533 0.1472 Ru
0.6180 0.7928 0.0257 Ru
0.7368 0.6176 0.5387 Ru
0.8771 0.1835 0.7055 Ru
```

Computed properties:
DOS(E_F) (states/eV/cell): 20.768
Energy (eV per formula unit): -63.6
Space group: No. 1
Energy of formation from the pure elements (eV/atom): -0.35
M_tot (μB/f.u.): 0.00

---

FeCo3W: optimized geometry, GGA-PBE.

Structure (POSCAR):
```
FeCo3W
1.0
4.1573 0.0000 0.0000
0.0000 4.1573 0.0000
0.0000 0.0000 4.1573
Fe Co W
1 3 1
direct
0.0000 0.0000 0.0000 Fe
0.0000 0.0000 0.5000 Co
0.0000 0.5000 0.0000 Co
0.5000 0.0000 0.0000 Co
0.5000 0.5000 0.5000 W
```

Computed properties:
DOS(E_F) (states/eV/cell): 7.542
Energy above the lowest structure with this stoichiometry (eV/f.u.): 5.223
Energy (eV per formula unit): -35.9
Space group: No. 221
Energy of formation from the pure elements (eV/atom): 1.36
M_tot (μB/f.u.): 7.98

---

ZrAl2SbOs: optimized geometry, GGA-PBE.

Structure (POSCAR):
```
ZrAl2SbOs
1.0
5.0399 0.0000 0.0000
0.0000 5.0399 0.0000
0.0000 0.0000 4.8036
Zr Al Sb Os
1 2 1 1
direct
0.0000 0.0000 0.0000 Zr
0.0000 0.5000 0.5000 Al
0.5000 0.0000 0.5000 Al
0.5000 0.5000 0.5000 Sb
0.5000 0.5000 0.0000 Os
```

Computed properties:
DOS(E_F) (states/eV/cell): 4.021
Energy (eV per formula unit): -24.7
Space group: No. 123
M_tot (μB/f.u.): 0.00

---

La12Nd7Dy: optimized geometry, GGA-PBE.

Structure (POSCAR):
```
La12Nd7Dy
1.0
9.8926 5.7115 2.1528
-9.8926 5.7115 2.1528
0.0000 -11.4229 2.1528
La Nd Dy
12 7 1
direct
0.0000 0.4074 0.5926 La
0.0000 0.5926 0.4074 La
0.0701 0.0701 0.4259 La
0.0701 0.4259 0.0701 La
0.4074 0.0000 0.5926 La
0.4074 0.5926 0.0000 La
0.4259 0.0701 0.0701 La
0.5741 0.9299 0.9299 La
0.5926 0.0000 0.4074 La
0.5926 0.4074 0.0000 La
0.9299 0.5741 0.9299 La
0.9299 0.9299 0.5741 La
0.0000 0.0000 0.0000 Nd
0.1314 0.3838 0.3838 Nd
0.3838 0.1314 0.3838 Nd
0.3838 0.3838 0.1314 Nd
0.6162 0.6162 0.8686 Nd
0.6162 0.8686 0.6162 Nd
0.8686 0.6162 0.6162 Nd
0.5000 0.5000 0.5000 Dy
```

Computed properties:
DOS(E_F) (states/eV/cell): 25.559
Energy above the lowest structure with this stoichiometry (eV/f.u.): 0.000
Energy (eV per formula unit): -93.7
Space group: No. 166
Energy of formation from the pure elements (eV/atom): 0.17
M_tot (μB/f.u.): 0.00

---

K2Na5Pb: optimized geometry, GGA-PBE.

Structure (POSCAR):
```
K2Na5Pb
1.0
6.4369 -3.9414 0.0000
6.4369 3.9414 0.0000
-4.8019 0.0000 6.2511
K Na Pb
2 5 1
direct
0.0000 0.0000 0.0000 K
0.5000 0.5000 0.4987 K
0.4384 0.4384 0.9377 Na
0.5143 0.9747 0.0134 Na
0.5157 0.9752 0.4744 Na
0.9747 0.5143 0.0134 Na
0.9752 0.5157 0.4744 Na
0.0721 0.0721 0.5713 Pb
```

Computed properties:
DOS(E_F) (states/eV/cell): 4.619
Energy above the lowest structure with this stoichiometry (eV/f.u.): 0.000
Energy (eV per formula unit): -12.5
Space group: No. 8
Energy of formation from the pure elements (eV/atom): 0.01
M_tot (μB/f.u.): 0.00

---

Sr2CaGa3: optimized geometry, GGA-PBE.

Structure (POSCAR):
```
Sr2CaGa3
1.0
7.8949 -4.5690 0.0000
7.8949 4.5690 0.0000
0.0000 0.0000 5.2922
Sr Ca Ga
4 2 6
direct
0.0011 0.3336 0.2500 Sr
0.3336 0.0011 0.7500 Sr
0.6664 0.9989 0.2500 Sr
0.9989 0.6664 0.7500 Sr
0.3329 0.6671 0.2500 Ca
0.6671 0.3329 0.7500 Ca
0.0000 0.0000 0.0000 Ga
0.0000 0.0000 0.5000 Ga
0.3400 0.3400 0.0000 Ga
0.3400 0.3400 0.5000 Ga
0.6600 0.6600 0.0000 Ga
0.6600 0.6600 0.5000 Ga
```

Computed properties:
DOS(E_F) (states/eV/cell): 11.577
Energy (eV per formula unit): -16.3
Space group: No. 63
Energy of formation from the pure elements (eV/atom): -0.31
M_tot (μB/f.u.): 0.00

---

Tb6PrY2: optimized geometry, GGA-PBE.

Structure (POSCAR):
```
Tb6PrY2
1.0
5.8162 -1.7337 0.0000
5.8162 1.7337 0.0000
-3.0264 0.0000 15.0245
Tb Pr Y
6 1 2
direct
0.0404 0.0404 0.2326 Tb
0.2945 0.2945 0.1050 Tb
0.3730 0.3730 0.5626 Tb
0.6270 0.6270 0.4374 Tb
0.7055 0.7055 0.8950 Tb
0.9596 0.9596 0.7674 Tb
0.0000 0.0000 0.0000 Pr
0.3330 0.3330 0.3339 Y
0.6670 0.6670 0.6661 Y
```

Computed properties:
DOS(E_F) (states/eV/cell): 19.671
Energy above the lowest structure with this stoichiometry (eV/f.u.): 0.000
Energy (eV per formula unit): -43.7
Space group: No. 12
Energy of formation from the pure elements (eV/atom): 0.19
M_tot (μB/f.u.): 0.00

---

Ta2NbAuN: optimized geometry, GGA-PBE.

Structure (POSCAR):
```
Ta2NbAuN
1.0
4.2426 0.0000 0.0000
0.0000 4.2426 0.0000
0.0000 0.0000 4.2978
Ta Nb Au N
2 1 1 1
direct
0.0000 0.5000 0.0000 Ta
0.5000 0.0000 0.0000 Ta
0.0000 0.0000 0.5000 Nb
0.5000 0.5000 0.5000 Au
0.0000 0.0000 0.0000 N
```

Computed properties:
DOS(E_F) (states/eV/cell): 4.035
Energy (eV per formula unit): -47.8
Space group: No. 123
M_tot (μB/f.u.): 0.00

---

Pm5PrSm3: optimized geometry, GGA-PBE.

Structure (POSCAR):
```
Pm5PrSm3
1.0
8.5091 -4.1815 0.0000
8.5091 4.1815 0.0000
-8.5072 0.0000 9.3610
Pm Pr Sm
10 2 6
direct
0.0161 0.4093 0.7746 Pm
0.0569 0.0569 0.4208 Pm
0.1357 0.1357 0.9436 Pm
0.1831 0.8169 0.0000 Pm
0.4093 0.0161 0.7746 Pm
0.5907 0.9839 0.2254 Pm
0.8169 0.1831 0.0000 Pm
0.8643 0.8643 0.0564 Pm
0.9431 0.9431 0.5792 Pm
0.9839 0.5907 0.2254 Pm
0.3920 0.3920 0.1325 Pr
0.6080 0.6080 0.8675 Pr
0.2021 0.2021 0.3065 Sm
0.3370 0.3370 0.6499 Sm
0.5000 0.5000 0.0000 Sm
0.5000 0.5000 0.5000 Sm
0.6630 0.6630 0.3501 Sm
0.7979 0.7979 0.6935 Sm
```

Computed properties:
DOS(E_F) (states/eV/cell): 26.764
Energy above the lowest structure with this stoichiometry (eV/f.u.): 2.250
Energy (eV per formula unit): -39.3
Space group: No. 12
Energy of formation from the pure elements (eV/atom): 0.38
M_tot (μB/f.u.): 0.00

---

ErHfP2: optimized geometry, GGA-PBE.

Structure (POSCAR):
```
ErHfP2
1.0
1.8781 1.0843 6.5755
-1.8781 1.0843 6.5755
0.0000 -2.1686 6.5755
Er Hf P
1 1 2
direct
0.0000 0.0000 0.0000 Er
0.8254 0.8254 0.8254 Hf
0.2392 0.2392 0.2392 P
0.4190 0.4190 0.4190 P
```

Computed properties:
DOS(E_F) (states/eV/cell): 2.394
Energy above the lowest structure with this stoichiometry (eV/f.u.): 0.456
Energy (eV per formula unit): -30.7
Space group: No. 160
Energy of formation from the pure elements (eV/atom): -1.34
M_tot (μB/f.u.): 0.00

---

Tm5Zn2Cu12: optimized geometry, GGA-PBE.

Structure (POSCAR):
```
Tm5Zn2Cu12
1.0
7.2414 -3.3581 0.0000
7.2414 3.3581 0.0000
-0.2442 0.0000 6.4695
Tm Zn Cu
5 2 12
direct
0.0000 0.0000 0.0000 Tm
0.2437 0.2437 0.9406 Tm
0.3038 0.3038 0.4560 Tm
0.6962 0.6962 0.5440 Tm
0.7563 0.7563 0.0594 Tm
0.2873 0.7127 0.5000 Zn
0.7127 0.2873 0.5000 Zn
0.0482 0.6734 0.7438 Cu
0.1104 0.1104 0.5963 Cu
0.2070 0.5903 0.1500 Cu
0.3266 0.9518 0.2562 Cu
0.4097 0.7930 0.8500 Cu
0.4469 0.4469 0.8259 Cu
0.5531 0.5531 0.1741 Cu
0.5903 0.2070 0.1500 Cu
0.6734 0.0482 0.7438 Cu
0.7930 0.4097 0.8500 Cu
0.8896 0.8896 0.4037 Cu
0.9518 0.3266 0.2562 Cu
```

Computed properties:
DOS(E_F) (states/eV/cell): 9.022
Energy (eV per formula unit): -77.5
Space group: No. 12
Energy of formation from the pure elements (eV/atom): -0.18
M_tot (μB/f.u.): 0.00

---

Dy3HoMg3: optimized geometry, GGA-PBE.

Structure (POSCAR):
```
Dy3HoMg3
1.0
5.3257 -5.5866 0.0000
5.3257 5.5866 0.0000
-0.0084 0.0000 6.9022
Dy Ho Mg
6 2 6
direct
0.0000 0.0000 0.2457 Dy
0.0000 0.0000 0.7543 Dy
0.9997 0.5004 0.2524 Dy
0.0003 0.4996 0.7476 Dy
0.5004 0.9997 0.2524 Dy
0.4996 0.0003 0.7476 Dy
0.3113 0.3113 0.0012 Ho
0.6887 0.6887 0.9988 Ho
0.2556 0.7444 0.0000 Mg
0.2719 0.2719 0.5004 Mg
0.3258 0.6742 0.5000 Mg
0.6742 0.3258 0.5000 Mg
0.7281 0.7281 0.4996 Mg
0.7444 0.2556 0.0000 Mg
```

Computed properties:
DOS(E_F) (states/eV/cell): 13.615
Energy (eV per formula unit): -22.6
Space group: No. 12
Energy of formation from the pure elements (eV/atom): 0.09
M_tot (μB/f.u.): 0.00

---

Rb3NpP2O8: optimized geometry, GGA-PBE.

Structure (POSCAR):
```
Rb3NpP2O8
1.0
5.8594 0.0000 0.0000
-2.9297 5.0743 0.0000
0.0000 0.0000 8.2959
Rb Np P O
3 1 2 8
direct
0.0000 0.0000 0.0000 Rb
0.3333 0.6667 0.7530 Rb
0.6667 0.3333 0.2470 Rb
0.0000 0.0000 0.5000 Np
0.3333 0.6667 0.2670 P
0.6667 0.3333 0.7330 P
0.1881 0.3763 0.3327 O
0.1881 0.8119 0.3327 O
0.3333 0.6667 0.0830 O
0.3763 0.1881 0.6673 O
0.6237 0.8119 0.3327 O
0.6667 0.3333 0.9170 O
0.8119 0.1881 0.6673 O
0.8119 0.6237 0.6673 O
```

Computed properties:
DOS(E_F) (states/eV/cell): 7.154
Energy (eV per formula unit): -99.4
Space group: No. 164
M_tot (μB/f.u.): 4.00

---

Cr2CuPt: optimized geometry, GGA-PBE.

Structure (POSCAR):
```
Cr2CuPt
1.0
4.5056 -1.3660 0.0000
4.5056 1.3660 0.0000
-0.9152 0.0000 4.1826
Cr Cu Pt
2 1 1
direct
0.2478 0.2478 0.2473 Cr
0.7522 0.7522 0.7527 Cr
0.0000 0.0000 0.5000 Cu
0.5000 0.5000 0.0000 Pt
```

Computed properties:
DOS(E_F) (states/eV/cell): 5.376
Energy (eV per formula unit): -28.8
Space group: No. 12
Energy of formation from the pure elements (eV/atom): 0.15
M_tot (μB/f.u.): 0.00

---

TlZnGa: optimized geometry, GGA-PBE.

Structure (POSCAR):
```
TlZnGa
1.0
3.2861 0.0000 0.0000
1.6305 4.2919 0.0000
0.0901 1.3318 9.7838
Tl Zn Ga
2 2 2
direct
0.1671 0.1914 0.1274 Tl
0.8329 0.8086 0.8726 Tl
0.0938 0.3001 0.6745 Zn
0.9062 0.6999 0.3255 Zn
0.3642 0.7651 0.5744 Ga
0.6358 0.2349 0.4256 Ga
```

Computed properties:
DOS(E_F) (states/eV/cell): 2.114
Energy (eV per formula unit): -6.4
Space group: No. 2
Energy of formation from the pure elements (eV/atom): 0.10
M_tot (μB/f.u.): 0.00